Nd3Y2Rh2: optimized geometry, PBE.

abc: 12.288 3.913 9.025
angles: 90.00 115.55 90.00
Space group C2/m (No. 12)
Asymmetric unit:
Nd 0.000 0.000 0.000 [2 per cell]
Nd 0.114 0.000 0.428 [4 per cell]
Y 0.170 0.500 0.812 [4 per cell]
Rh 0.183 0.500 0.241 [4 per cell]

M_tot, μB/f.u.: 0.000
Total DFT energy (no corrections), eV/atom: -6.480